# NdNiPtO4 | the Alexandria database | PBE+U | relaxed
data_NdNiPtO4
_chemical_formula_sum 'Nd2 Ni2 Pt2 O8'
_cell_length_a 5.9770
_cell_length_b 6.6050
_cell_length_c 7.2182
_cell_angle_alpha 123.12
_cell_angle_beta 90.00
_cell_angle_gamma 116.90
_symmetry_space_group_name_H-M 'P 1'
_symmetry_Int_Tables_number 1
loop_
_symmetry_equiv_pos_as_xyz
'x,y,z'
loop_
_atom_site_label
_atom_site_fract_x
_atom_site_fract_y
_atom_site_fract_z
Nd1 0.5000 0.0000 0.5000
Nd2 0.5000 0.0000 0.0000
Ni1 0.7753 0.5506 0.0253
Ni2 0.2247 0.4494 0.9747
Pt1 0.5000 0.5000 0.5000
Pt2 0.0000 0.5000 0.5000
O1 0.7577 0.5154 0.6933
O2 0.1750 0.7915 0.1457
O3 0.6164 0.7915 0.1457
O4 0.7577 0.5154 0.3221
O5 0.2423 0.4846 0.6779
O6 0.8250 0.2085 0.8543
O7 0.3836 0.2085 0.8543
O8 0.2423 0.4846 0.3067
# theoretical density	7.64	g/cm3
# calculated volume	200.83	Å³/cell
# symmetry	Imma (74)
# magnetization	0.25	μB/atom
# total energy	-86.66	eV per cell